Here is a relaxed MgAs2RuBr crystal from Alexandria via LeMat-Bulk. Energies are from PBE.

Cell and atoms, written as CIF:
```
data_MgAs2RuBr
_chemical_formula_sum 'Mg1 As2 Ru1 Br1'
_space_group_name_H-M_alt 'P 4/m m m'
_space_group_IT_number 123
_space_group_name_Hall '-P 4 2'
_cell_length_a 4.7180
_cell_length_b 4.7180
_cell_length_c 5.5044
_cell_angle_alpha 90.00
_cell_angle_beta 90.00
_cell_angle_gamma 90.00
loop_
_atom_site_label
_atom_site_fract_x
_atom_site_fract_y
_atom_site_fract_z
_atom_site_occupancy
Mg1 0.0000 0.0000 0.0000 1
As1 0.0000 0.5000 0.5000 1
Ru1 0.5000 0.5000 0.5000 1
Br1 0.5000 0.5000 0.0000 1
```

Energy above the most stable polymorph in this dataset in eV per atom: 0.0000
Electronic total energy in eV/atom: -4.156
Formation energy without anion corrections in eV/f.u.: 1.06